# 1
Here is a relaxed KMgMn2I8 crystal from the Alexandria database. Energies are from PBE.

## Properties
Space group: P-3 (147)
E_form (uncorrected), kcal/mol of atoms: -15.33
Crystal system: trigonal
VASP energy, eV/atom: -3.4507

Cell lengths 7.401, 7.401, 10.341 Å; angles 90.00, 90.00, 120.00 degrees
Site moments in Bohr magnetons follow the coordinates.
Fractional positions:
I  0.008  0.685  0.330  0.00
I  0.677  0.992  0.330  0.00
I  0.333  0.667  0.993  -0.01
I  0.685  0.677  0.670  0.00
I  0.323  0.008  0.670  0.00
I  0.667  0.333  0.007  -0.01
K  0.000  0.000  0.000  0.00
I  0.992  0.315  0.670  0.00
Mn  0.333  0.667  0.741  4.06
I  0.315  0.323  0.330  0.00
Mn  0.667  0.333  0.259  4.06
Mg  0.000  0.000  0.500  0.01

=====

# 2
Here is a relaxed K2MgMnI crystal from the Alexandria database. Energies are from PBE.

## Properties
Space group: P4/mmm (123)
E_form (uncorrected), kcal/mol of atoms: 5.36
Crystal system: tetragonal
VASP energy, eV/atom: -2.6694

Cell lengths 6.747, 5.233, 6.747 Å; angles 90.00, 90.00, 90.00 degrees
Site moments in Bohr magnetons follow the coordinates.
Fractional positions:
Mn  0.000  0.500  0.000  3.96
K  0.000  0.000  0.500  -0.01
K  0.500  0.000  0.000  -0.02
Mg  0.000  0.000  0.000  -0.05
I  0.500  0.500  0.500  -0.01